[1]
The following is a DFT calculation (PBE-GGA) of crystalline Hf4FeCuP2 at its relaxed geometry.

It has space group Pm (No. 6), with a = 5.197 Å, b = 3.603 Å, c = 7.445 Å, α = 90.00°, β = 109.50° and γ = 90.00°. The asymmetric unit holds Hf at (0.000, 0.000, 0.000), Hf at (0.058, 0.500, 0.625), Hf at (0.483, 0.000, 0.476), Hf at (0.558, 0.500, 0.142), Fe at (0.137, 0.500, 0.262), Cu at (0.415, 0.000, 0.847), P at (0.639, 0.500, 0.766) and P at (0.914, 0.000, 0.349).

The calculation puts the volume at 131 Å³ per cell. As for the energy: -8.63 eV per atom.

[2]
The following is a DFT calculation (PBE-GGA) of crystalline HfFeCuPb at its relaxed geometry.

It has space group F-43m (No. 216), with a = 6.572 Å, b = 6.572 Å, c = 6.572 Å, α = 90.00°, β = 90.00° and γ = 90.00°. The asymmetric unit holds Hf at (0.000, 0.000, 0.000), Fe at (0.250, 0.250, 0.750), Cu at (0.000, 0.000, 0.500) and Pb at (0.250, 0.250, 0.250).

The calculation puts the volume at 284 Å³ per cell. The calculation puts the energy above the lowest structure with this stoichiometry at 206 meV per atom.

[3]
The following is a DFT calculation (PBE-GGA) of crystalline HfFeCuPb at its relaxed geometry.

It has space group F-43m (No. 216), with a = 6.542 Å, b = 6.542 Å, c = 6.542 Å, α = 90.00°, β = 90.00° and γ = 90.00°. The asymmetric unit holds Hf at (0.000, 0.000, 0.000), Fe at (0.000, 0.000, 0.500), Cu at (0.250, 0.250, 0.750) and Pb at (0.250, 0.250, 0.250).

The calculation puts the volume at 280 Å³ per cell. The calculation puts the energy above the lowest structure with this stoichiometry at 178 meV per atom.

Question: Number 1 is which compound?
Answer: Hf4FeCuP2